Computed, not measured: a relaxed K5Na3Hg12 crystal at the PBE-GGA level of DFT. Values from VASP.

```
&SYSTEM
  ibrav = 0, nat = 80, ntyp = 3
/
ATOMIC_SPECIES
K 39.10 K.upf
Hg 200.59 Hg.upf
Na 22.99 Na.upf
ATOMIC_POSITIONS angstrom
K 4.4642 -9.7912 2.0555
K -4.6462 -12.0053 0.1731
K -1.5609 -8.0695 -7.2434
K 2.7973 -5.0015 -7.6554
K -6.6184 -9.8872 -4.9177
K 6.3478 -5.3157 -0.1801
K 0.0000 0.0000 0.0000
K -13.4686 -5.2821 -1.4705
K 0.7879 -7.8439 5.4126
K 7.9435 -9.7774 -2.6547
K -9.4157 -4.8857 2.7377
K -9.9893 -5.2684 -6.1808
K -3.5505 0.3142 -7.4752
K 1.0933 -5.1723 0.7925
K -3.9642 -6.9900 3.1182
K -0.8789 -3.0543 -4.2983
K -5.5599 -2.5283 5.5928
K 3.8906 -10.1738 -6.8629
K -9.1104 -2.2141 -1.8825
K -2.7626 -7.5298 -2.0626
Hg 5.6910 -7.1130 -2.8964
Hg -7.1861 -4.3667 -8.0676
Hg 2.4888 -10.0509 -0.8187
Hg -2.9602 -2.9347 -7.1063
Hg 0.3302 -12.6013 -1.6223
Hg -11.2161 -7.9465 -1.2288
Hg -5.1291 -6.2702 -0.0998
Hg -8.2485 -4.4368 6.0037
Hg -10.0310 -8.0873 1.4718
Hg 0.6453 -13.3425 3.1268
Hg -8.0139 -5.0087 -3.3065
Hg -0.8618 -6.2327 -12.1912
Hg -1.2955 -2.7009 1.4376
Hg 7.4678 -11.5599 2.3393
Hg -0.3960 -8.7894 -4.0254
Hg -1.9489 -10.7244 -1.6476
Hg -5.7109 -6.8518 -3.4364
Hg -3.2126 -3.5955 3.4972
Hg -10.2831 -5.2646 7.9767
Hg -1.3371 -13.3840 5.9335
Hg -2.5649 -12.1248 2.9811
Hg 4.7580 -9.7949 -12.1019
Hg 3.4680 -4.7604 -1.7417
Hg -4.1880 -1.6755 -10.0587
Hg -14.9850 -4.4800 -4.5181
Hg -7.3332 -4.3075 -0.0118
Hg -1.5254 -9.4414 3.6415
Hg -3.9997 -5.6182 -7.7668
Hg -5.0861 -4.3921 -10.7877
Hg -4.2296 -12.3587 -5.5628
Hg 2.1841 -4.7391 -4.4004
Hg -5.9898 -8.6530 5.4340
Hg 0.1858 -8.2077 -0.6888
Hg -4.6633 -8.8268 8.0660
Hg 4.5059 -6.9723 -5.5970
Hg 1.6610 -10.6928 3.9424
Hg -8.9931 -10.2991 -2.3835
Hg 2.7233 -10.6227 -10.1289
Hg -7.7092 -10.3204 0.2752
Hg -2.3125 -11.4640 -7.6224
Hg 0.4647 -6.4066 -9.5592
Hg -6.1704 -1.7170 -7.2520
Hg -12.9929 -3.4996 -6.4645
Hg -5.8553 -2.4582 -2.5030
Hg 9.4599 -10.5796 0.3929
Hg -3.5763 -4.3352 -2.4777
Hg 1.8081 -10.7520 -4.1134
Hg -0.4390 -10.6675 6.6625
Na -7.4435 -7.0038 7.8284
Na 2.4920 -7.6731 -3.0352
Na -5.4341 -4.1613 -5.2395
Na -4.3582 -3.0680 0.4119
Na -0.0910 -10.8982 1.1143
Na -7.4063 -2.0432 -10.3303
Na -3.5703 -10.9120 5.8245
Na -1.9548 -4.1476 -9.9497
Na -8.0171 -7.3864 -1.0900
Na -1.1669 -11.9915 -4.5371
Na 1.9184 -8.0558 -11.9537
Na 1.8812 -13.0163 6.2051
CELL_PARAMETERS angstrom
-7.1009 0.6283 -14.9504
12.6956 -10.6313 -0.3603
-11.1198 -5.0565 11.1855
```

Output
Its crystal system is cubic. Its density is 5.1 g/cm³. For the spin magnetization, the calculation gives 0.0 Bohr magnetons per cell. For the volume, the calculation gives 874 Å³/f.u. The calculation puts the energy of formation at -0.14 eV per atom. Its total energy is -0.790 eV per atom.

=====

Computed, not measured: a relaxed K4NaHg4 crystal at the PBE-GGA level of DFT. Values from VASP.

```
&SYSTEM
  ibrav = 0, nat = 9, ntyp = 3
/
ATOMIC_SPECIES
K 39.10 K.upf
Hg 200.59 Hg.upf
Na 22.99 Na.upf
ATOMIC_POSITIONS angstrom
K 1.3906 -4.8899 -5.3192
K -2.6158 -5.1426 1.7591
K 2.2770 -9.3349 -3.2111
K 1.3677 -5.7511 -1.1988
Hg 0.6335 -6.4556 2.1811
Hg -0.0481 -3.0380 0.5603
Hg 2.4484 -8.0464 -6.4928
Hg -0.6144 -7.5785 -4.2186
Na 0.0000 0.0000 0.0000
CELL_PARAMETERS angstrom
-3.0055 -3.7230 4.9162
-0.5106 -3.9323 -8.0765
4.7258 -4.9040 -0.8246
```

Output
Its crystal system is tetragonal. Its density is 4.6 g/cm³. For the spin magnetization, the calculation gives 0.0 Bohr magnetons per cell. For the volume, the calculation gives 357 Å³/f.u. The calculation puts the energy of formation at -0.13 eV per atom. Its total energy is -0.900 eV per atom.

=====

Computed, not measured: a relaxed K2NaHg crystal at the PBE-GGA level of DFT. Values from VASP.

```
&SYSTEM
  ibrav = 0, nat = 4, ntyp = 3
/
ATOMIC_SPECIES
Na 22.99 Na.upf
K 39.10 K.upf
Hg 200.59 Hg.upf
ATOMIC_POSITIONS angstrom
Na 0.0000 0.0000 0.0000
K -9.9537 3.0521 4.8675
K -3.3179 1.0174 1.6225
Hg -6.6358 2.0348 3.2450
CELL_PARAMETERS angstrom
-5.2646 -2.1253 2.6275
-2.6197 3.1372 4.7362
-5.3874 3.0577 -0.8736
```

Output
Its crystal system is cubic. Its density is 2.9 g/cm³. For the spin magnetization, the calculation gives 0.0 Bohr magnetons per cell. For the volume, the calculation gives 173 Å³/f.u. The calculation puts the energy of formation at -0.10 eV per atom. Its total energy is -1.057 eV per atom.

=====

Computed, not measured: a relaxed K16Na4Hg3 crystal at the PBE-GGA level of DFT. Values from VASP.

```
&SYSTEM
  ibrav = 0, nat = 23, ntyp = 3
/
ATOMIC_SPECIES
Hg 200.59 Hg.upf
K 39.10 K.upf
Na 22.99 Na.upf
ATOMIC_POSITIONS angstrom
Hg 0.0000 4.3893 8.6418
Hg 0.0000 0.0000 0.0000
Hg 4.3893 0.0000 8.6418
K 6.5878 6.5878 10.6848
K 6.5878 2.1907 10.6848
K 2.3356 2.3356 0.0000
K 2.1907 2.1907 10.6848
K 2.1907 2.1907 6.5988
K 6.4429 2.3356 0.0000
K 2.1907 6.5878 6.5988
K 4.3893 4.3893 13.8872
K 4.3893 4.3893 3.3964
K 6.5878 2.1907 6.5988
K 0.0000 0.0000 3.3881
K 6.5878 6.5878 6.5988
K 2.1907 6.5878 10.6848
K 2.3356 6.4429 0.0000
K 0.0000 0.0000 13.8955
K 6.4429 6.4429 0.0000
Na 4.3893 0.0000 3.3433
Na 0.0000 4.3893 3.3433
Na 4.3893 0.0000 13.9403
Na 0.0000 4.3893 13.9403
CELL_PARAMETERS angstrom
8.7785 0.0000 0.0000
0.0000 8.7785 0.0000
0.0000 0.0000 17.2836
```

Output
Its crystal system is tetragonal. Its density is 1.6 g/cm³. For the spin magnetization, the calculation gives 0.0 Bohr magnetons per cell. For the volume, the calculation gives 1332 Å³/f.u. The calculation puts the energy of formation at -0.02 eV per atom. Its total energy is -1.055 eV per atom.